VASP calculation (PBEsol) on TlIn2Ni after structural relaxation.

Computed properties:
The calculation puts the total magnetization at 0.000 μB/cell. The theoretical density comes out at 9733 kg/m³. The value obtained for the density of states at the Fermi level is 2.71 states/eV/cell. The calculation puts the energy above the most stable polymorph in this dataset at 291 meV/atom. Its calculated formation energy is 0.327 eV/atom. As for the crystal system: cubic.

```
TlIn2Ni
1.0
4.9170 0.0000 0.0000
2.4585 4.2582 0.0000
2.4585 1.4194 4.0147
In Ni Tl
2 1 1
Cartesian
2.4585 1.4194 1.0037 In
7.3755 4.2582 3.0110 In
0.0000 0.0000 0.0000 Ni
4.9170 2.8388 2.0074 Tl
```


VASP calculation (PBEsol) on TlIn2Ni after structural relaxation.

Computed properties:
The calculation puts the total magnetization at 0.000 μB/cell. The theoretical density comes out at 9998 kg/m³. The value obtained for the density of states at the Fermi level is 2.11 states/eV/cell. The calculation puts the energy above the most stable polymorph in this dataset at 250 meV/atom. Its calculated formation energy is 0.287 eV/atom. As for the crystal system: tetragonal.

```
TlIn2Ni
1.0
-2.3643 3.0880 -1.9334
-3.5740 -1.5183 1.9455
3.6757 1.8621 3.3576
In Ni Tl
2 1 1
Cartesian
0.0000 0.0000 0.0000 In
-0.8289 2.8675 0.7151 In
-2.9692 0.7848 0.0061 Ni
-1.4337 0.5643 2.6546 Tl
```


VASP calculation (PBEsol) on TlIn2Ni after structural relaxation.

Computed properties:
The calculation puts the total magnetization at 0.000 μB/cell. The theoretical density comes out at 9278 kg/m³. The value obtained for the density of states at the Fermi level is 1.77 states/eV/cell. The calculation puts the energy above the most stable polymorph in this dataset at 0 meV/atom. Its calculated formation energy is 0.037 eV/atom. As for the crystal system: monoclinic.

```
TlIn2Ni
1.0
-2.3522 -0.0361 -2.0653
-1.8362 -0.5862 4.4741
1.0488 6.3798 -1.3061
In Ni Tl
2 1 1
Cartesian
-4.0806 -0.4166 2.2823 In
-2.6615 1.9810 0.6241 In
-1.0012 2.2787 -1.2721 Ni
-0.2366 4.4639 0.1914 Tl
```


VASP calculation (PBEsol) on TlIn2Ni after structural relaxation.

Computed properties:
The calculation puts the total magnetization at 0.000 μB/cell. The theoretical density comes out at 9632 kg/m³. The value obtained for the density of states at the Fermi level is 2.02 states/eV/cell. The calculation puts the energy above the most stable polymorph in this dataset at 35 meV/atom. Its calculated formation energy is 0.072 eV/atom. As for the crystal system: orthorhombic.

```
TlIn2Ni
1.0
-1.2318 1.5834 2.2429
3.0410 -1.5994 2.7993
2.9256 4.9125 -3.8799
In Ni Tl
2 1 1
Cartesian
3.3382 3.1082 1.6577 In
1.3966 1.7883 -0.4955 In
-0.6159 0.7917 1.1214 Ni
1.5205 -0.7997 1.3997 Tl
```


VASP calculation (PBEsol) on TlIn2Ni after structural relaxation.

Computed properties:
The calculation puts the total magnetization at 0.001 μB/cell. The theoretical density comes out at 10047 kg/m³. The value obtained for the density of states at the Fermi level is 1.96 states/eV/cell. The calculation puts the energy above the most stable polymorph in this dataset at 243 meV/atom. Its calculated formation energy is 0.280 eV/atom. As for the crystal system: tetragonal.

```
TlIn2Ni
1.0
4.3096 0.0000 0.0000
0.0000 4.3096 0.0000
-2.1548 -2.1548 4.3847
In Ni Tl
2 1 1
Cartesian
2.1548 0.0000 2.1923 In
0.0000 2.1548 2.1923 In
2.1548 2.1548 0.0000 Ni
0.0000 0.0000 0.0000 Tl
```


VASP calculation (PBEsol) on TlIn2Ni after structural relaxation.

Computed properties:
The calculation puts the total magnetization at 0.000 μB/cell. The theoretical density comes out at 9746 kg/m³. The value obtained for the density of states at the Fermi level is 2.96 states/eV/cell. The calculation puts the energy above the most stable polymorph in this dataset at 300 meV/atom. Its calculated formation energy is 0.337 eV/atom. As for the crystal system: cubic.

```
TlIn2Ni
1.0
4.9148 0.0000 0.0000
2.4574 4.2563 0.0000
2.4574 1.4188 4.0129
In Ni Tl
2 1 1
Cartesian
0.0000 0.0000 0.0000 In
7.3722 4.2563 3.0097 In
4.9148 2.8375 2.0064 Ni
2.4574 1.4188 1.0032 Tl
```